# Zr2MnP GGA-PBE relaxed
data_Zr2MnP
_cell_length_a 3.526
_cell_length_b 3.526
_cell_length_c 5.795
_cell_angle_alpha 90.00
_cell_angle_beta 90.00
_cell_angle_gamma 90.00
_space_group_name_H-M_alt 'P 4 m m'
_space_group_IT_number 99
_space_group_name_Hall 'P 4 -2'
loop_
_atom_site_label
_atom_site_fract_x
_atom_site_fract_y
_atom_site_fract_z
_atom_site_occupancy
Zr1 0.000 0.000 0.000 1
Zr2 0.500 0.500 0.312 1
Mn1 0.000 0.000 0.545 1
P1 0.500 0.500 0.802 1
# Theoretical density (g/cm³): 6.2
# E_tot (eV per formula unit): -33.1
# Spin magnetization (μB per formula unit): 2.84
# D(E_F) (states/eV per cell): 2.75